Below is a relaxed K3Cu crystal, with properties calculated at the PBE-GGA level.

- Formation energy: 1.3 eV per formula unit
- Theoretical density: 1.7 g/cm³
- V: 176.6 Å³/cell
- Raw total energy: -0.0556 Ha/atom

Unit cell a=6.2888 b=6.2888 c=6.2888 alpha=119.71 beta=119.71 gamma=90.51
Closest atoms and distances in Å follow each position.
Element x y z (fractional)
K (0.7500, 0.2500, 0.5000)  4 K 3.86, 4 Cu 3.86
K (0.2500, 0.7500, 0.5000)  4 Cu 3.86, 4 K 3.86
K (0.5000, 0.5000, 0.0000)  8 K 3.86
Cu (0.0000, 0.0000, 0.0000)  8 K 3.86